Record 1
Here is a relaxed structure of AlPd3Pt from the Alexandria database. Energies are from GGA-PBEsol.

## Properties
The value obtained for the volume is 109.63 Å³/cell. The density of states at the Fermi level is 1.408 states/eV per atom. For the size of the total moment, the calculation gives 0.00 μB/cell. For the total energy, the calculation gives -4.7219 eV per atom.

Geometry as CIF:
```
data_AlPd3Pt
_chemical_formula_sum 'Al1 Pd3 Pt1'
_symmetry_space_group_name_H-M 'P m -3 m'
_symmetry_Int_Tables_number 221
_symmetry_space_group_name_Hall '-P 4 2 3'
_cell_length_a 4.786
_cell_length_b 4.786
_cell_length_c 4.786
_cell_angle_alpha 90.00
_cell_angle_beta 90.00
_cell_angle_gamma 90.00
loop_
_atom_site_label
_atom_site_type_symbol
_atom_site_fract_x
_atom_site_fract_y
_atom_site_fract_z
_atom_site_occupancy
Al1 Al 0.000 0.000 0.000 1
Pd1 Pd 0.000 0.500 0.500 1
Pt1 Pt 0.500 0.500 0.500 1
```

---

Record 2
Here is a relaxed structure of DyTmIr2 from the Alexandria database. Energies are from GGA-PBEsol.

## Properties
The value obtained for the volume is 301.76 Å³/cell. The density of states at the Fermi level is 0.421 states/eV per atom. For the size of the total moment, the calculation gives 0.00 μB/cell. For the total energy, the calculation gives -8.2202 eV per atom.

Geometry as CIF:
```
data_DyTmIr2
_chemical_formula_sum 'Dy4 Tm4 Ir8'
_symmetry_space_group_name_H-M 'F m -3 m'
_symmetry_Int_Tables_number 225
_symmetry_space_group_name_Hall '-F 4 2 3'
_cell_length_a 6.707
_cell_length_b 6.707
_cell_length_c 6.707
_cell_angle_alpha 90.00
_cell_angle_beta 90.00
_cell_angle_gamma 90.00
loop_
_atom_site_label
_atom_site_type_symbol
_atom_site_fract_x
_atom_site_fract_y
_atom_site_fract_z
_atom_site_occupancy
Dy1 Dy 0.000 0.000 0.000 1
Tm1 Tm 0.000 0.000 0.500 1
Ir1 Ir 0.250 0.250 0.250 1
```

---

Record 3
Here is a relaxed structure of PtSe3Cl from the Alexandria database. Energies are from GGA-PBEsol.

## Properties
The value obtained for the volume is 107.28 Å³/cell. The density of states at the Fermi level is 1.565 states/eV per atom. For the size of the total moment, the calculation gives 0.01 μB/cell. The formation energy without anion corrections comes out at 1.36 eV/atom.

Geometry as CIF:
```
data_PtSe3Cl
_chemical_formula_sum 'Pt1 Se3 Cl1'
_symmetry_space_group_name_H-M 'P m -3 m'
_symmetry_Int_Tables_number 221
_symmetry_space_group_name_Hall '-P 4 2 3'
_cell_length_a 4.752
_cell_length_b 4.752
_cell_length_c 4.752
_cell_angle_alpha 90.00
_cell_angle_beta 90.00
_cell_angle_gamma 90.00
loop_
_atom_site_label
_atom_site_type_symbol
_atom_site_fract_x
_atom_site_fract_y
_atom_site_fract_z
_atom_site_occupancy
Pt1 Pt 0.000 0.000 0.000 1
Se1 Se 0.000 0.500 0.500 1
Cl1 Cl 0.500 0.500 0.500 1
```

---

Record 4
Here is a relaxed structure of Ti3CoCu from the Alexandria database. Energies are from GGA-PBEsol.

## Properties
The value obtained for the volume is 89.17 Å³/cell. The density of states at the Fermi level is 1.900 states/eV per atom. For the size of the total moment, the calculation gives 0.21 μB/cell. For the total energy, the calculation gives -6.3978 eV per atom.

Geometry as CIF:
```
data_Ti3CoCu
_chemical_formula_sum 'Ti3 Co1 Cu1'
_symmetry_space_group_name_H-M 'P m -3 m'
_symmetry_Int_Tables_number 221
_symmetry_space_group_name_Hall '-P 4 2 3'
_cell_length_a 4.468
_cell_length_b 4.468
_cell_length_c 4.468
_cell_angle_alpha 90.00
_cell_angle_beta 90.00
_cell_angle_gamma 90.00
loop_
_atom_site_label
_atom_site_type_symbol
_atom_site_fract_x
_atom_site_fract_y
_atom_site_fract_z
_atom_site_occupancy
Ti1 Ti 0.000 0.000 0.500 1
Co1 Co 0.500 0.500 0.500 1
Cu1 Cu 0.000 0.000 0.000 1
```

---

Record 5
Here is a relaxed structure of Sc3CdN from the Alexandria database. Energies are from GGA-PBEsol.

## Properties
The value obtained for the volume is 86.50 Å³/cell. The density of states at the Fermi level is 1.108 states/eV per atom. For the size of the total moment, the calculation gives 0.00 μB/cell. The formation energy without anion corrections comes out at -1.09 eV/atom.

Geometry as CIF:
```
data_Sc3CdN
_chemical_formula_sum 'Sc3 Cd1 N1'
_symmetry_space_group_name_H-M 'P m -3 m'
_symmetry_Int_Tables_number 221
_symmetry_space_group_name_Hall '-P 4 2 3'
_cell_length_a 4.423
_cell_length_b 4.423
_cell_length_c 4.423
_cell_angle_alpha 90.00
_cell_angle_beta 90.00
_cell_angle_gamma 90.00
loop_
_atom_site_label
_atom_site_type_symbol
_atom_site_fract_x
_atom_site_fract_y
_atom_site_fract_z
_atom_site_occupancy
Sc1 Sc 0.000 0.000 0.500 1
Cd1 Cd 0.500 0.500 0.500 1
N1 N 0.000 0.000 0.000 1
```

---

Record 6
Here is a relaxed structure of K3HS2O8 from the Alexandria database. Energies are from GGA-PBEsol.

## Properties
The value obtained for the volume is 786.96 Å³/cell. The density of states at the Fermi level is 0.000 states/eV per atom. For the size of the total moment, the calculation gives 0.00 μB/cell. For the total energy, the calculation gives -5.8675 eV per atom.

Geometry as CIF:
```
data_K3HS2O8
_chemical_formula_sum 'K12 H4 S8 O32'
_symmetry_space_group_name_H-M 'C 1 2/c 1'
_symmetry_Int_Tables_number 15
_symmetry_space_group_name_Hall '-C 2yc'
_cell_length_a 14.649
_cell_length_b 5.687
_cell_length_c 9.709
_cell_angle_alpha 90.00
_cell_angle_beta 103.37
_cell_angle_gamma 90.00
loop_
_atom_site_label
_atom_site_type_symbol
_atom_site_fract_x
_atom_site_fract_y
_atom_site_fract_z
_atom_site_occupancy
K1 K 0.000 0.250 0.250 1
K2 K 0.192 0.228 0.652 1
H1 H 0.000 0.500 0.000 1
S1 S 0.116 0.275 0.963 1
O1 O 0.009 0.318 0.940 1
O2 O 0.129 0.055 0.891 1
O3 O 0.154 0.260 0.118 1
O4 O 0.155 0.481 0.903 1
```

---

Record 7
Here is a relaxed structure of Mn4Ni from the Alexandria database. Energies are from GGA-PBEsol.

## Properties
The value obtained for the volume is 102.85 Å³/cell. The density of states at the Fermi level is 1.551 states/eV per atom. For the size of the total moment, the calculation gives 0.03 μB/cell. For the total energy, the calculation gives -8.9709 eV per atom.

Geometry as CIF:
```
data_Mn4Ni
_chemical_formula_sum 'Mn8 Ni2'
_symmetry_space_group_name_H-M 'I 4/m'
_symmetry_Int_Tables_number 87
_symmetry_space_group_name_Hall '-I 4'
_cell_length_a 5.414
_cell_length_b 5.414
_cell_length_c 3.508
_cell_angle_alpha 90.00
_cell_angle_beta 90.00
_cell_angle_gamma 90.00
loop_
_atom_site_label
_atom_site_type_symbol
_atom_site_fract_x
_atom_site_fract_y
_atom_site_fract_z
_atom_site_occupancy
Mn1 Mn 0.094 0.702 0.000 1
Ni1 Ni 0.000 0.000 0.500 1
```

---

Record 8
Here is a relaxed structure of TbAl3Cu2 from the Alexandria database. Energies are from GGA-PBEsol.

## Properties
The value obtained for the volume is 97.25 Å³/cell. The density of states at the Fermi level is 0.245 states/eV per atom. For the size of the total moment, the calculation gives 0.00 μB/cell. For the total energy, the calculation gives -4.7659 eV per atom.

Geometry as CIF:
```
data_TbAl3Cu2
_chemical_formula_sum 'Tb1 Al3 Cu2'
_symmetry_space_group_name_H-M 'P 6/m m m'
_symmetry_Int_Tables_number 191
_symmetry_space_group_name_Hall '-P 6 2'
_cell_length_a 5.2910
_cell_length_b 5.2910
_cell_length_c 4.0114
_cell_angle_alpha 90.00
_cell_angle_beta 90.00
_cell_angle_gamma 120.00
loop_
_atom_site_label
_atom_site_type_symbol
_atom_site_fract_x
_atom_site_fract_y
_atom_site_fract_z
_atom_site_occupancy
Tb1 Tb 0.0000 0.0000 0.0000 1
Al1 Al 0.0000 0.5000 0.5000 1
Cu1 Cu 0.3333 0.6667 0.0000 1
```

---

Record 9
Here is a relaxed structure of Mn2BiOsC from the Alexandria database. Energies are from GGA-PBEsol.

## Properties
The value obtained for the volume is 126.76 Å³/cell. The density of states at the Fermi level is 0.852 states/eV per atom. For the size of the total moment, the calculation gives 8.33 μB/cell. For the total energy, the calculation gives -5.8220 eV per atom.

Geometry as CIF:
```
data_Mn2BiOsC
_chemical_formula_sum 'Mn2 Bi1 Os1 C1'
_symmetry_space_group_name_H-M 'P 4/m m m'
_symmetry_Int_Tables_number 123
_symmetry_space_group_name_Hall '-P 4 2'
_cell_length_a 5.048
_cell_length_b 5.048
_cell_length_c 4.975
_cell_angle_alpha 90.00
_cell_angle_beta 90.00
_cell_angle_gamma 90.00
loop_
_atom_site_label
_atom_site_type_symbol
_atom_site_fract_x
_atom_site_fract_y
_atom_site_fract_z
_atom_site_occupancy
Mn1 Mn 0.000 0.500 0.000 1
Bi1 Bi 0.000 0.000 0.000 1
Os1 Os 0.000 0.000 0.500 1
C1 C 0.500 0.500 0.500 1
```

---

Record 10
Here is a relaxed structure of K2CuGeI from the Alexandria database. Energies are from GGA-PBEsol.

## Properties
The value obtained for the volume is 181.14 Å³/cell. The density of states at the Fermi level is 0.463 states/eV per atom. For the size of the total moment, the calculation gives 0.00 μB/cell. The formation energy without anion corrections comes out at -0.22 eV/atom.

Geometry as CIF:
```
data_K2CuGeI
_chemical_formula_sum 'K2 Cu1 Ge1 I1'
_symmetry_space_group_name_H-M 'P 4/m m m'
_symmetry_Int_Tables_number 123
_symmetry_space_group_name_Hall '-P 4 2'
_cell_length_a 6.420
_cell_length_b 6.420
_cell_length_c 4.394
_cell_angle_alpha 90.00
_cell_angle_beta 90.00
_cell_angle_gamma 90.00
loop_
_atom_site_label
_atom_site_type_symbol
_atom_site_fract_x
_atom_site_fract_y
_atom_site_fract_z
_atom_site_occupancy
K1 K 0.000 0.500 0.000 1
Cu1 Cu 0.000 0.000 0.500 1
Ge1 Ge 0.000 0.000 0.000 1
I1 I 0.500 0.500 0.500 1
```

---

Record 11
Here is a relaxed structure of Bi3IN from the Alexandria database. Energies are from GGA-PBEsol.

## Properties
The value obtained for the volume is 210.64 Å³/cell. The density of states at the Fermi level is 1.472 states/eV per atom. For the size of the total moment, the calculation gives 1.68 μB/cell. The formation energy without anion corrections comes out at 1.99 eV/atom.

Geometry as CIF:
```
data_Bi3IN
_chemical_formula_sum 'Bi3 I1 N1'
_symmetry_space_group_name_H-M 'P m -3 m'
_symmetry_Int_Tables_number 221
_symmetry_space_group_name_Hall '-P 4 2 3'
_cell_length_a 5.950
_cell_length_b 5.950
_cell_length_c 5.950
_cell_angle_alpha 90.00
_cell_angle_beta 90.00
_cell_angle_gamma 90.00
loop_
_atom_site_label
_atom_site_type_symbol
_atom_site_fract_x
_atom_site_fract_y
_atom_site_fract_z
_atom_site_occupancy
Bi1 Bi 0.000 0.000 0.500 1
I1 I 0.000 0.000 0.000 1
N1 N 0.500 0.500 0.500 1
```

---

Record 12
Here is a relaxed structure of Os2SeCl from the Alexandria database. Energies are from GGA-PBEsol.

## Properties
The value obtained for the volume is 123.29 Å³/cell. The density of states at the Fermi level is 1.166 states/eV per atom. For the size of the total moment, the calculation gives 0.00 μB/cell. The formation energy without anion corrections comes out at 1.08 eV/atom.

Geometry as CIF:
```
data_Os2SeCl
_chemical_formula_sum 'Os4 Se2 Cl2'
_symmetry_space_group_name_H-M 'C m m m'
_symmetry_Int_Tables_number 65
_symmetry_space_group_name_Hall '-C 2 2'
_cell_length_a 2.847
_cell_length_b 5.175
_cell_length_c 8.367
_cell_angle_alpha 90.00
_cell_angle_beta 90.00
_cell_angle_gamma 90.00
loop_
_atom_site_label
_atom_site_type_symbol
_atom_site_fract_x
_atom_site_fract_y
_atom_site_fract_z
_atom_site_occupancy
Os1 Os 0.000 0.000 0.243 1
Se1 Se 0.000 0.500 0.000 1
Cl1 Cl 0.000 0.500 0.500 1
```

---

Record 13
Here is a relaxed structure of Li2MnO2F from the Alexandria database. Energies are from GGA-PBEsol.

## Properties
The value obtained for the volume is 208.70 Å³/cell. Its excess energy over the best structure of this formula in the dataset is 0.42 eV per formula unit. For the size of the total moment, the calculation gives 16.00 μB/cell. The formation energy without anion corrections comes out at -2.12 eV/atom.

Geometry as CIF:
```
data_Li2MnO2F
_chemical_formula_sum 'Li8 Mn4 O8 F4'
_symmetry_space_group_name_H-M 'C 1 c 1'
_symmetry_Int_Tables_number 9
_symmetry_space_group_name_Hall 'C -2yc'
_cell_length_a 5.057
_cell_length_b 8.728
_cell_length_c 5.048
_cell_angle_alpha 90.00
_cell_angle_beta 110.50
_cell_angle_gamma 90.00
loop_
_atom_site_label
_atom_site_type_symbol
_atom_site_fract_x
_atom_site_fract_y
_atom_site_fract_z
_atom_site_occupancy
Li1 Li 0.000 0.087 0.000 1
Li2 Li 0.023 0.253 0.486 1
Mn1 Mn 0.043 0.400 0.984 1
O1 O 0.239 0.433 0.730 1
O2 O 0.286 0.241 0.241 1
F1 F 0.271 0.091 0.706 1
```